This record from the Alexandria database describes a relaxed structure of NpTlPb2. The functional is GGA-PBE.

Output
The value obtained for the distance to the lowest polymorph of the same formula is 132.1 meV/atom. For the total magnetic moment, the calculation gives 1.0734 μB per atom. The value obtained for the formation enthalpy at 0 K is 0.2611 eV per atom. The space group is R-3m, No. 166.

```
4
Lattice="3.318 0.000 0.000 1.659 2.874 0.000 1.659 0.958 12.407" Properties=species:S:1:pos:R:3 pbc="T T T"
Pb 1.659 0.958 9.085
Pb 4.978 2.874 3.322
Tl 0.000 0.000 0.000
Np 3.318 1.916 6.204
```

***

This record from the Alexandria database describes a relaxed structure of YTlPO2. The functional is GGA-PBE.

Output
The value obtained for the distance to the lowest polymorph of the same formula is 0.0 meV/atom. For the total magnetic moment, the calculation gives 0.2445 μB per atom. The space group is P4/mmm, No. 123. Its formation energy without anion corrections is -972.5 meV/atom.

```
5
Lattice="-3.223 -0.736 -2.748 1.766 -3.774 -1.059 -3.075 -2.650 4.316" Properties=species:S:1:pos:R:3 pbc="T T T"
P -1.538 -1.325 2.158
O -1.611 -0.368 -1.374
O 0.883 -1.887 -0.530
Y 0.000 0.000 0.000
Tl -2.266 -3.580 0.254
```

***

This record from the Alexandria database describes a relaxed structure of CoPIr2. The functional is GGA-PBE.

Output
The value obtained for the distance to the lowest polymorph of the same formula is 72.1 meV/atom. For the total magnetic moment, the calculation gives 0.0005 μB per atom. The value obtained for the formation enthalpy at 0 K is -0.0708 eV per atom. The space group is Imm2, No. 44.

```
4
Lattice="5.096 0.005 0.003 4.318 2.707 0.003 1.690 0.487 3.764" Properties=species:S:1:pos:R:3 pbc="T T T"
Co 2.379 0.685 1.136
P 5.597 1.613 1.861
Ir 8.638 2.489 2.676
Ir 1.731 0.499 3.744
```

***

This record from the Alexandria database describes a relaxed structure of Tl2ReTc. The functional is GGA-PBE.

Output
The value obtained for the distance to the lowest polymorph of the same formula is 676.6 meV/atom. For the total magnetic moment, the calculation gives 0.3890 μB per atom. The value obtained for the formation enthalpy at 0 K is 1.0872 eV per atom. The space group is Pmmm, No. 47.

```
4
Lattice="3.084 0.000 0.000 0.000 5.211 0.000 0.000 0.000 4.749" Properties=species:S:1:pos:R:3 pbc="T T T"
Tl 0.000 0.000 0.000
Tl 1.542 2.605 0.000
Re 1.542 0.000 2.374
Tc 0.000 2.605 2.374
```

***

This record from the Alexandria database describes a relaxed structure of PtPb2Br. The functional is GGA-PBE.

Output
The value obtained for the distance to the lowest polymorph of the same formula is 231.5 meV/atom. For the total magnetic moment, the calculation gives 0.0000 μB per atom. The space group is I-42d, No. 122. Its formation energy without anion corrections is -152.4 meV/atom.

```
8
Lattice="-1.696 -5.259 -3.319 2.754 -3.720 4.486 -5.679 -4.754 4.176" Properties=species:S:1:pos:R:3 pbc="T T T"
Pb -2.248 -5.287 -0.688
Pb -4.044 -6.687 3.274
Pb -3.152 -11.667 4.449
Pb 0.201 -3.824 3.652
Br -1.198 -6.481 4.623
Br 0.529 -4.489 0.584
Pt 0.000 0.000 0.000
Pt -3.423 -7.251 0.720
```

***

This record from the Alexandria database describes a relaxed structure of ZrBeGa2Ru. The functional is GGA-PBE.

Output
For the total magnetic moment, the calculation gives 0.0000 μB per atom. The value obtained for the formation enthalpy at 0 K is 0.3372 eV per atom. The space group is P4/mmm, No. 123.

```
5
Lattice="4.156 0.000 0.000 0.000 4.156 0.000 0.000 0.000 4.698" Properties=species:S:1:pos:R:3 pbc="T T T"
Ga 2.078 0.000 0.000
Ga 0.000 2.078 0.000
Zr 0.000 0.000 2.349
Be 0.000 0.000 0.000
Ru 2.078 2.078 2.349
```

***

This record from the Alexandria database describes a relaxed structure of CuSeBr2. The functional is GGA-PBE.

Output
The value obtained for the distance to the lowest polymorph of the same formula is 143.7 meV/atom. For the total magnetic moment, the calculation gives 0.0000 μB per atom. The space group is P4mm, No. 99. Its formation energy without anion corrections is -22.6 meV/atom.

```
4
Lattice="3.555 0.000 0.000 0.000 3.555 0.000 0.000 0.000 8.281" Properties=species:S:1:pos:R:3 pbc="T T T"
Cu 0.000 0.000 5.518
Br 0.000 0.000 7.840
Br 1.778 1.778 2.493
Se 1.778 1.778 4.851
```

***

This record from the Alexandria database describes a relaxed structure of Mg3Pd. The functional is GGA-PBE.

Output
For the total magnetic moment, the calculation gives 0.0000 μB per atom. The value obtained for the formation enthalpy at 0 K is -0.4103 eV per atom. The space group is P6_3/mmc, No. 194.

```
8
Lattice="-2.449 -2.571 2.962 1.716 -1.908 -3.847 6.995 -1.953 4.089" Properties=species:S:1:pos:R:3 pbc="T T T"
Mg 4.353 -3.253 0.776
Mg 6.796 -3.935 2.204
Mg -0.533 -2.497 1.001
Mg 1.749 -0.488 1.022
Mg 1.909 -3.179 2.429
Mg 5.247 -1.464 3.067
Pd 2.076 -2.617 -0.555
Pd 4.186 -3.815 3.759
```

***

This record from the Alexandria database describes a relaxed structure of K2LiC2. The functional is GGA-PBE.

Output
The value obtained for the distance to the lowest polymorph of the same formula is 103.5 meV/atom. For the total magnetic moment, the calculation gives 0.1895 μB per atom. The value obtained for the formation enthalpy at 0 K is 0.5726 eV per atom. The space group is I4/mmm, No. 139.

```
5
Lattice="6.067 0.000 0.000 0.000 6.067 0.000 3.033 3.033 2.898" Properties=species:S:1:pos:R:3 pbc="T T T"
Li 0.000 0.000 0.000
C 3.033 3.033 0.648
C 6.067 6.067 2.250
K 3.033 6.067 1.449
K 6.067 3.033 1.449
```

***

This record from the Alexandria database describes a relaxed structure of LiCaEuTl. The functional is GGA-PBE.

Output
For the total magnetic moment, the calculation gives 1.7709 μB per atom. The value obtained for the formation enthalpy at 0 K is -0.2569 eV per atom. The space group is F-43m, No. 216.

```
4
Lattice="-3.115 -1.507 4.319 -2.103 -5.114 0.245 1.960 -3.625 3.695" Properties=species:S:1:pos:R:3 pbc="T T T"
Ca -2.444 -7.685 6.194
Eu -0.815 -2.562 2.065
Tl -1.629 -5.123 4.130
Li 0.000 0.000 0.000
```

***

This record from the Alexandria database describes a relaxed structure of CdBH4Cl. The functional is GGA-PBE.

Output
For the total magnetic moment, the calculation gives 0.0000 μB per atom. The space group is C2/m, No. 12.

```
14
Lattice="-4.903 -2.064 -3.633 -4.348 -4.191 2.242 -5.864 2.492 1.456" Properties=species:S:1:pos:R:3 pbc="T T T"
B -9.767 -2.273 0.099
B -5.348 -1.489 -0.034
Cd -9.368 -4.614 -0.786
Cd -5.747 0.851 0.851
H -9.239 -1.241 0.423
H -5.876 -2.522 -0.358
H -8.705 -2.900 -0.228
H -4.712 -0.958 -0.943
H -10.576 -2.144 -0.818
H -6.410 -0.863 0.293
H -10.404 -2.805 1.008
H -4.539 -1.619 0.883
Cl -1.820 -0.137 0.122
Cl -13.295 -3.626 -0.057
```

***

This record from the Alexandria database describes a relaxed structure of ScCr2SnI. The functional is GGA-PBE.

Output
For the total magnetic moment, the calculation gives 1.5890 μB per atom. The space group is P4/mmm, No. 123. Its formation energy without anion corrections is 1137.4 meV/atom.

```
5
Lattice="-0.920 -4.554 -2.227 3.540 1.182 -3.878 3.771 -2.128 2.793" Properties=species:S:1:pos:R:3 pbc="T T T"
Cr -0.460 -2.277 -1.114
Cr 1.885 -1.064 1.397
Sn 3.195 -2.750 -1.656
I 1.770 0.591 -1.939
Sc 0.000 0.000 0.000
```

***

This record from the Alexandria database describes a relaxed structure of Sm6Tm12Tl. The functional is GGA-PBE.

Output
For the total magnetic moment, the calculation gives 0.0000 μB per atom. The value obtained for the formation enthalpy at 0 K is 0.0888 eV per atom. The space group is R-3, No. 148.

```
19
Lattice="-6.585 -2.230 4.735 4.358 1.519 7.032 -2.756 7.945 0.163" Properties=species:S:1:pos:R:3 pbc="T T T"
Tm -3.957 2.552 7.543
Tm -5.242 7.029 8.496
Tm 0.260 0.206 3.434
Tm -1.187 1.611 6.182
Tm -4.007 2.736 4.321
Tm -1.025 4.682 4.386
Tm -2.840 0.751 1.808
Tm -4.760 4.121 10.461
Tm -2.143 6.484 10.121
Tm -0.976 4.498 7.608
Tm -0.223 3.113 1.469
Tm -3.796 5.623 5.748
Sm -6.686 4.328 6.578
Sm -3.216 5.069 1.984
Sm -3.689 -0.423 5.118
Sm -1.294 7.658 6.811
Sm -1.766 2.165 9.945
Sm 1.703 2.906 5.351
Tl 0.000 0.000 0.000
```

***

This record from the Alexandria database describes a relaxed structure of Al6ZnGa5. The functional is GGA-PBE.

Output
For the total magnetic moment, the calculation gives 0.0000 μB per atom. The value obtained for the formation enthalpy at 0 K is 0.0367 eV per atom. The space group is C2/m, No. 12.

```
12
Lattice="-3.949 0.106 3.078 -5.990 -5.411 -5.430 -1.576 -6.226 -0.773" Properties=species:S:1:pos:R:3 pbc="T T T"
Al -2.459 -1.312 -0.580
Al -6.495 -6.317 -0.448
Al -5.020 -5.214 -2.678
Al -7.480 -3.994 -1.773
Al -3.978 -2.426 1.613
Al -7.537 -9.105 -4.739
Ga -4.970 -2.653 -1.176
Ga -2.514 -3.899 -2.057
Ga -7.498 -6.515 -3.253
Ga -5.052 -7.738 -4.147
Ga -4.017 -5.016 0.128
Zn 0.000 0.000 0.000
```

***

This record from the Alexandria database describes a relaxed structure of SrReTe. The functional is GGA-PBE.

Output
The value obtained for the distance to the lowest polymorph of the same formula is 0.0 meV/atom. For the total magnetic moment, the calculation gives 0.0000 μB per atom. The space group is I4mm, No. 107. Its formation energy without anion corrections is 253.5 meV/atom.

```
3
Lattice="-3.918 -0.209 -5.253 -0.681 -0.305 -6.514 -0.385 -3.376 -0.729" Properties=species:S:1:pos:R:3 pbc="T T T"
Sr -1.823 -2.399 -4.497
Te -3.033 -1.577 -7.666
Re -0.512 -3.290 -1.062
```

***

This record from the Alexandria database describes a relaxed structure of Sb3Cl. The functional is GGA-PBE.

Output
The value obtained for the distance to the lowest polymorph of the same formula is 181.2 meV/atom. For the total magnetic moment, the calculation gives 0.0000 μB per atom. The space group is P4/mmm, No. 123. Its formation energy without anion corrections is 125.2 meV/atom.

```
4
Lattice="3.201 0.000 0.000 0.000 3.201 0.000 0.000 0.000 10.068" Properties=species:S:1:pos:R:3 pbc="T T T"
Cl 0.000 0.000 0.000
Sb 0.000 0.000 5.034
Sb 1.601 1.601 7.702
Sb 1.601 1.601 2.366
```

***

This record from the Alexandria database describes a relaxed structure of Mg2Zr3Cd4. The functional is GGA-PBE.

Output
For the total magnetic moment, the calculation gives 0.0000 μB per atom. The value obtained for the formation enthalpy at 0 K is -0.0352 eV per atom. The space group is P-1, No. 2.

```
9
Lattice="4.146 0.003 1.140 -0.457 7.047 1.700 0.351 0.111 6.844" Properties=species:S:1:pos:R:3 pbc="T T T"
Cd 1.039 7.045 4.371
Cd 3.587 2.390 3.200
Cd 0.454 4.771 6.483
Cd 3.002 0.116 5.312
Mg 0.978 2.384 4.587
Mg 3.063 4.777 5.096
Zr 0.000 0.000 0.000
Zr 1.606 4.738 2.282
Zr 2.435 2.423 7.401
```

***

This record from the Alexandria database describes a relaxed structure of CaRhPb2. The functional is GGA-PBE.

Output
For the total magnetic moment, the calculation gives 0.0000 μB per atom. The value obtained for the formation enthalpy at 0 K is -0.1224 eV per atom. The space group is P4/mmm, No. 123.

```
4
Lattice="-0.356 -4.452 -0.826 3.376 -0.826 2.998 -3.089 -0.379 3.374" Properties=species:S:1:pos:R:3 pbc="T T T"
Ca -1.723 -2.415 1.274
Pb 0.000 0.000 0.000
Pb 0.144 -0.603 3.186
Rh 1.510 -2.639 1.086
```

***

This record from the Alexandria database describes a relaxed structure of Ac4Dy3ErBi8. The functional is GGA-PBE.

Output
For the total magnetic moment, the calculation gives 0.0000 μB per atom. The value obtained for the formation enthalpy at 0 K is -0.9076 eV per atom. The space group is R-3m, No. 166.

```
16
Lattice="9.359 0.000 0.000 0.000 9.343 -0.017 -4.680 -4.675 6.621" Properties=species:S:1:pos:R:3 pbc="T T T"
Bi 4.680 4.526 3.196
Bi 0.000 0.142 3.408
Bi 2.346 2.181 6.506
Bi 0.000 4.525 3.187
Bi 2.333 2.486 0.098
Bi -2.346 2.181 6.506
Bi 7.026 2.486 0.098
Bi 4.680 0.142 3.417
Ac -2.340 -2.338 3.310
Ac 4.680 0.000 0.000
Ac 2.340 -2.338 3.310
Ac 0.000 0.000 0.000
Dy -2.340 2.334 3.302
Dy 4.680 4.672 -0.009
Dy 2.340 2.334 3.302
Er 0.000 4.672 -0.009
```

***

This record from the Alexandria database describes a relaxed structure of Pm3As. The functional is GGA-PBE.

Output
The value obtained for the distance to the lowest polymorph of the same formula is 10.7 meV/atom. For the total magnetic moment, the calculation gives 0.0137 μB per atom. The value obtained for the formation enthalpy at 0 K is -0.5677 eV per atom. The space group is I4/mmm, No. 139.

```
4
Lattice="4.094 0.000 0.000 0.000 4.094 0.000 -2.047 -2.047 8.092" Properties=species:S:1:pos:R:3 pbc="T T T"
Pm 0.000 0.000 2.903
Pm 2.047 2.047 0.000
Pm 2.047 2.047 5.189
As 0.000 0.000 0.000
```

***

Number 1: V 118.3 Å³ per cell, uncorrected energy -5.42 eV per atom. Number 2: V 109.5 Å³ per cell, uncorrected energy -5.80 eV per atom. Number 3: V 51.8 Å³ per cell, uncorrected energy -7.63 eV per atom. Number 4: V 76.3 Å³ per cell, uncorrected energy -5.80 eV per atom. Number 5: V 298.2 Å³ per cell, uncorrected energy -3.93 eV per atom. Number 6: V 81.2 Å³ per cell, uncorrected energy -5.18 eV per atom. Number 7: V 104.7 Å³ per cell, uncorrected energy -2.75 eV per atom. Number 8: V 154.4 Å³ per cell, uncorrected energy -2.90 eV per atom. Number 9: V 106.6 Å³ per cell, uncorrected energy -3.94 eV per atom. Number 10: V 119.9 Å³ per cell, uncorrected energy -4.40 eV per atom. Number 11: V 200.0 Å³ per cell, uncorrected energy -3.48 eV per atom. Number 12: V 142.9 Å³ per cell, uncorrected energy -5.09 eV per atom. Number 13: V 594.8 Å³ per cell, uncorrected energy -4.35 eV per atom. Number 14: V 206.0 Å³ per cell, uncorrected energy -3.20 eV per atom. Number 15: V 73.4 Å³ per cell, uncorrected energy -5.50 eV per atom. Number 16: V 103.2 Å³ per cell, uncorrected energy -3.43 eV per atom. Number 17: V 196.3 Å³ per cell, uncorrected energy -3.65 eV per atom. Number 18: V 95.7 Å³ per cell, uncorrected energy -4.31 eV per atom. Number 19: V 578.2 Å³ per cell, uncorrected energy -5.02 eV per atom. Number 20: V 135.6 Å³ per cell, uncorrected energy -5.29 eV per atom.